Compound: BeRe2Sb
Source: OQMD via LeMat-Bulk
Functional: PBE
Structure: optimized geometry

Computed properties:
The value obtained for the total energy is -120.230 eV for the cell shown. The crystal system is cubic.

Unit cell a=6.2530 b=6.2530 c=6.2530 alpha=90.00 beta=90.00 gamma=90.00
Last column: nearest neighbours and their distance in Å.
Space group F-43m (No. 216)
Symmetry-distinct sites (fractional):
Be 0.0000 0.0000 0.0000 (multiplicity 4)  4 Re 2.71, 4 Sb 2.71
Re 0.0000 0.0000 0.5000 (multiplicity 4)  4 Sb 2.71, 4 Re 2.71
Re 0.2500 0.2500 0.2500 (multiplicity 4)  4 Re 2.71, 4 Be 2.71
Sb 0.2500 0.2500 0.7500 (multiplicity 4)  4 Re 2.71, 4 Be 2.71

=====

Compound: LiYZnTe3
Source: OQMD via LeMat-Bulk
Functional: PBE
Structure: optimized geometry

Computed properties:
The value obtained for the total energy is -99.632 eV for the cell shown. The crystal system is orthorhombic. The value obtained for the energy above the most stable polymorph in this dataset is 0.001 eV/atom.

Unit cell a=14.5859 b=4.2672 c=11.7885 alpha=90.00 beta=90.00 gamma=90.00
Last column: nearest neighbours and their distance in Å.
Space group Pnma (No. 62)
Symmetry-distinct sites (fractional):
Li 0.2247 0.2500 0.1819 (multiplicity 4)  5 Te 2.91-3.07
Y 0.0205 0.7500 0.8430 (multiplicity 4)  6 Te 3.06-3.20
Zn 0.0178 0.2500 0.6026 (multiplicity 4)  4 Te 2.65-2.78
Te 0.0954 0.2500 0.3872 (multiplicity 4)  3 Zn 2.70-2.78
Te 0.1156 0.7500 0.0743 (multiplicity 4)  2 Li 2.95, 3 Y 3.06-3.07
Te 0.1527 0.2500 0.7529 (multiplicity 4)  1 Zn 2.65, 2 Li 2.91

=====

Compound: BaSrLaAu
Source: OQMD via LeMat-Bulk
Functional: PBE
Structure: optimized geometry

Computed properties:
The value obtained for the total energy is -47.880 eV for the cell shown. The crystal system is cubic. The value obtained for the energy above the most stable polymorph in this dataset is 0.000 eV/atom.

Unit cell a=8.0006 b=8.0006 c=8.0006 alpha=90.00 beta=90.00 gamma=90.00
Last column: nearest neighbours and their distance in Å.
Space group F-43m (No. 216)
Symmetry-distinct sites (fractional):
Ba 0.0000 0.0000 0.0000 (multiplicity 4)  4 Sr 3.46, 4 La 3.46
Sr 0.2500 0.2500 0.2500 (multiplicity 4)  4 Au 3.46, 4 Ba 3.46
La 0.2500 0.2500 0.7500 (multiplicity 4)  4 Ba 3.46, 4 Au 3.46
Au 0.0000 0.0000 0.5000 (multiplicity 4)  4 La 3.46, 4 Sr 3.46

=====

Please write out number 2 again, unchanged.
Compound: LiYZnTe3
Source: OQMD via LeMat-Bulk
Functional: PBE
Structure: optimized geometry

Computed properties:
The value obtained for the total energy is -99.632 eV for the cell shown. The crystal system is orthorhombic. The value obtained for the energy above the most stable polymorph in this dataset is 0.001 eV/atom.

Unit cell a=14.5859 b=4.2672 c=11.7885 alpha=90.00 beta=90.00 gamma=90.00
Last column: nearest neighbours and their distance in Å.
Space group Pnma (No. 62)
Symmetry-distinct sites (fractional):
Li 0.2247 0.2500 0.1819 (multiplicity 4)  5 Te 2.91-3.07
Y 0.0205 0.7500 0.8430 (multiplicity 4)  6 Te 3.06-3.20
Zn 0.0178 0.2500 0.6026 (multiplicity 4)  4 Te 2.65-2.78
Te 0.0954 0.2500 0.3872 (multiplicity 4)  3 Zn 2.70-2.78
Te 0.1156 0.7500 0.0743 (multiplicity 4)  2 Li 2.95, 3 Y 3.06-3.07
Te 0.1527 0.2500 0.7529 (multiplicity 4)  1 Zn 2.65, 2 Li 2.91